Entry 1:
## KSr2Cr (PBE)

Data for KSr2Cr after structural relaxation.

Results
Fermi-level density of states (states/eV per atom): 0.98
Energy of formation (eV per atom): 0.66

Geometry as POSCAR:
```
KSr2Cr
1.0
0.000 4.461 4.461
4.461 0.000 4.461
4.461 4.461 0.000
K Sr Cr
1 2 1
Cartesian
0.000 0.000 0.000
4.461 4.461 4.461
6.691 6.691 6.691
2.230 2.230 2.230
```

=====

Entry 2:
## KSr2Cr (PBE)

Data for KSr2Cr after structural relaxation.

Results
Fermi-level density of states (states/eV per atom): 0.85
Energy of formation (eV per atom): 0.53

Geometry as POSCAR:
```
KSr2Cr
1.0
2.190 1.264 11.916
-2.190 1.264 11.916
0.000 -2.529 11.916
K Sr Cr
1 2 1
Cartesian
0.000 0.000 0.000
0.000 0.000 8.079
0.000 0.000 27.668
0.000 0.000 17.873
```

=====

Entry 3:
## KSr2Cr (PBE)

Data for KSr2Cr after structural relaxation.

Results
Fermi-level density of states (states/eV per atom): 0.68
Energy of formation (eV per atom): 0.67

Geometry as POSCAR:
```
KSr2Cr
1.0
-5.021 5.021 3.948
5.021 -5.021 3.948
5.021 5.021 -3.948
K Sr Cr
2 4 2
Cartesian
0.000 0.000 0.000
0.000 5.021 1.974
2.510 -1.880 2.961
3.140 2.510 0.987
2.510 6.901 -0.987
1.880 2.510 4.935
5.021 0.000 1.974
0.000 0.000 3.948
```

=====

Entry 4:
## K3SrCr (PBE)

Data for K3SrCr after structural relaxation.

Results
Fermi-level density of states (states/eV per atom): 1.19
Energy of formation (eV per atom): 1.11

Geometry as POSCAR:
```
K3SrCr
1.0
7.752 0.000 0.000
0.000 7.752 0.000
0.000 0.000 7.752
K Sr Cr
3 1 1
Cartesian
0.000 0.000 3.876
0.000 3.876 0.000
3.876 0.000 0.000
0.000 0.000 0.000
3.876 3.876 3.876
```

=====

Entry 5:
## K2SrVCr (PBE)

Data for K2SrVCr after structural relaxation.

Results
Fermi-level density of states (states/eV per atom): 1.78
Energy of formation (eV per atom): 1.74

Geometry as POSCAR:
```
K2SrVCr
1.0
7.078 0.000 0.000
0.000 7.078 0.000
0.000 0.000 5.849
K Sr V Cr
2 1 1 1
Cartesian
0.000 3.539 0.000
3.539 0.000 0.000
0.000 0.000 0.000
3.539 3.539 2.924
0.000 0.000 2.924
```

=====

Entry 6:
## KTaCr2 (PBE)

Data for KTaCr2 after structural relaxation.

Results
Fermi-level density of states (states/eV per atom): 1.21
Energy of formation (eV per atom): 0.84

Geometry as POSCAR:
```
KTaCr2
1.0
2.870 0.000 0.000
0.000 4.249 0.000
-1.350 0.000 7.389
K Ta Cr
1 1 2
Cartesian
0.000 0.000 0.000
0.760 0.000 3.695
-0.423 2.124 4.654
1.943 2.124 2.735
```

=====

Entry 7:
## K2TaCr (PBE)

Data for K2TaCr after structural relaxation.

Results
Fermi-level density of states (states/eV per atom): 0.86
Energy of formation (eV per atom): 0.88

Geometry as POSCAR:
```
K2TaCr
1.0
-1.558 1.990 10.667
1.558 -1.990 10.667
1.558 1.990 -10.667
K Ta Cr
2 1 1
Cartesian
0.000 0.000 3.190
0.000 0.000 18.144
0.000 1.990 0.000
1.558 0.000 0.000
```

=====

Entry 8:
## KTa2Cr (PBE)

Data for KTa2Cr after structural relaxation.

Results
Fermi-level density of states (states/eV per atom): 1.25
Energy of formation (eV per atom): 1.91

Geometry as POSCAR:
```
KTa2Cr
1.0
-2.936 2.936 7.135
2.936 -2.936 7.135
2.936 2.936 -7.135
K Ta Cr
2 4 2
Cartesian
2.936 1.468 1.784
0.000 1.468 5.351
0.000 0.000 0.000
1.468 1.468 -3.568
1.468 -1.468 3.568
0.000 2.936 0.000
2.936 -1.468 5.351
0.000 4.404 1.784
```

=====

What did the second record say?
## KSr2Cr (PBE)

Data for KSr2Cr after structural relaxation.

Results
Fermi-level density of states (states/eV per atom): 0.85
Energy of formation (eV per atom): 0.53

Geometry as POSCAR:
```
KSr2Cr
1.0
2.190 1.264 11.916
-2.190 1.264 11.916
0.000 -2.529 11.916
K Sr Cr
1 2 1
Cartesian
0.000 0.000 0.000
0.000 0.000 8.079
0.000 0.000 27.668
0.000 0.000 17.873
```

=====

> The highest energy of formation belongs to which entry?

KTa2Cr

=====

> Among the records above, which one has the highest energy of formation?

KTa2Cr